# 1
# Te3Ir2, relaxed, DFT GGA-PBE
data_Te3Ir2
_cell_length_a 6.8050
_cell_length_b 6.8050
_cell_length_c 17.6109
_cell_angle_alpha 90.00
_cell_angle_beta 90.00
_cell_angle_gamma 120.00
_symmetry_space_group_name_H-M 'R -3 c'
_symmetry_Int_Tables_number 167
_symmetry_space_group_name_Hall '-R 3 2"c'
loop_
_atom_site_label
_atom_site_fract_x
_atom_site_fract_y
_atom_site_fract_z
Te1 0.0000 0.2963 0.2500
Ir1 0.0000 0.0000 0.1468
# - electronic total energy (eV per atom) = -5.62
# - ρ (g/cm3) = 10.8

# 2
# Te2Ir, relaxed, DFT GGA-PBE
data_Te2Ir
_cell_length_a 4.006
_cell_length_b 6.737
_cell_length_c 14.622
_cell_angle_alpha 98.17
_cell_angle_beta 92.59
_cell_angle_gamma 107.20
_symmetry_space_group_name_H-M 'P 1'
_symmetry_Int_Tables_number 1
loop_
_symmetry_equiv_pos_as_xyz
'x,y,z'
loop_
_atom_site_label
_atom_site_fract_x
_atom_site_fract_y
_atom_site_fract_z
Te1 0.000 0.000 0.000
Te2 0.019 0.822 0.635
Te3 0.162 0.249 0.228
Te4 0.276 0.353 0.596
Te5 0.419 0.779 0.188
Te6 0.439 0.602 0.824
Te7 0.586 0.031 0.430
Te8 0.704 0.139 0.799
Te9 0.734 0.462 0.025
Te10 0.851 0.570 0.395
Ir1 0.081 0.870 0.824
Ir2 0.218 0.301 0.412
Ir3 0.358 0.732 0.000
Ir4 0.647 0.087 0.615
Ir5 0.790 0.515 0.209
# - electronic total energy (eV per atom) = -5.31
# - ρ (g/cm3) = 10.0

# 3
# TeIr17, relaxed, DFT GGA-PBE
data_TeIr17
_cell_length_a 5.4175
_cell_length_b 5.4175
_cell_length_c 27.8300
_cell_angle_alpha 90.00
_cell_angle_beta 90.00
_cell_angle_gamma 120.00
_symmetry_space_group_name_H-M 'P 3 2 1'
_symmetry_Int_Tables_number 150
loop_
_symmetry_equiv_pos_as_xyz
'x,y,z'
'-y,x-y,z'
'-x+y,-x,z'
'y,x,-z'
'x-y,-y,-z'
'-x,-x+y,-z'
loop_
_atom_site_label
_atom_site_fract_x
_atom_site_fract_y
_atom_site_fract_z
Te1 0.3333 0.6667 0.3602
Ir1 0.0000 0.0000 0.0000
Ir2 0.0000 0.0000 0.2439
Ir3 0.0000 0.5002 0.0000
Ir4 0.0010 0.4987 0.2401
Ir5 0.1120 0.7785 0.6792
Ir6 0.1656 0.3324 0.1610
Ir7 0.1661 0.3337 0.9194
Ir8 0.3333 0.6667 0.0804
Ir9 0.3333 0.6667 0.8396
# - offset from the most stable computed form (kcal/mol of atoms) = 0.000
# - ρ (g/cm3) = 15.9

# 4
# TeIr17, relaxed, DFT GGA-PBE
data_TeIr17
_cell_length_a 4.682
_cell_length_b 5.431
_cell_length_c 32.524
_cell_angle_alpha 90.00
_cell_angle_beta 90.06
_cell_angle_gamma 90.00
_symmetry_space_group_name_H-M 'P 1 21/m 1'
_symmetry_Int_Tables_number 11
loop_
_symmetry_equiv_pos_as_xyz
'x,y,z'
'-x,-y,-z'
'-x,y+1/2,-z'
'x,-y+1/2,z'
loop_
_atom_site_label
_atom_site_fract_x
_atom_site_fract_y
_atom_site_fract_z
Te1 0.166 0.250 0.310
Ir1 0.000 0.000 0.000
Ir2 0.001 0.003 0.206
Ir3 0.165 0.750 0.274
Ir4 0.165 0.750 0.862
Ir5 0.166 0.750 0.068
Ir6 0.167 0.250 0.069
Ir7 0.168 0.250 0.862
Ir8 0.333 0.000 0.138
Ir9 0.334 0.001 0.931
Ir10 0.334 0.501 0.726
Ir11 0.500 0.250 0.000
Ir12 0.500 0.250 0.207
Ir13 0.500 0.250 0.793
# - offset from the most stable computed form (kcal/mol of atoms) = 0.309
# - ρ (g/cm3) = 13.6

# 5
# TeIr8, relaxed, DFT GGA-PBE
data_TeIr8
_cell_length_a 8.576
_cell_length_b 3.873
_cell_length_c 24.525
_cell_angle_alpha 90.00
_cell_angle_beta 90.08
_cell_angle_gamma 90.00
_symmetry_space_group_name_H-M 'C 1 2/m 1'
_symmetry_Int_Tables_number 12
loop_
_symmetry_equiv_pos_as_xyz
'x,y,z'
'-x,-y,-z'
'-x,y,-z'
'x,-y,z'
'x+1/2,y+1/2,z'
'-x+1/2,-y+1/2,-z'
'-x+1/2,y+1/2,-z'
'x+1/2,-y+1/2,z'
loop_
_atom_site_label
_atom_site_fract_x
_atom_site_fract_y
_atom_site_fract_z
Te1 0.057 0.000 0.192
Ir1 0.048 0.000 0.553
Ir2 0.051 0.500 0.377
Ir3 0.055 0.500 0.728
Ir4 0.149 0.000 0.658
Ir5 0.151 0.500 0.483
Ir6 0.152 0.000 0.307
Ir7 0.247 0.500 0.236
Ir8 0.249 0.500 0.588
# - electronic total energy (eV per atom) = -8.14
# - ρ (g/cm3) = 13.6

# 6
# Te8Ir, relaxed, DFT GGA-PBE
data_Te8Ir
_cell_length_a 8.8163
_cell_length_b 8.8163
_cell_length_c 3.9079
_cell_angle_alpha 90.00
_cell_angle_beta 90.00
_cell_angle_gamma 120.00
_symmetry_space_group_name_H-M 'P -6 2 m'
_symmetry_Int_Tables_number 189
_symmetry_space_group_name_Hall 'P -6 -2'
loop_
_atom_site_label
_atom_site_fract_x
_atom_site_fract_y
_atom_site_fract_z
Te1 0.0000 0.2093 0.0000
Te2 0.0000 0.5291 0.5000
Te3 0.3333 0.6667 0.0000
Ir1 0.0000 0.0000 0.5000
# - electronic total energy (eV per atom) = -3.58
# - ρ (g/cm3) = 7.7